Entry 1:
4
Lattice="-5.2701 -1.1758 1.0614 -1.3542 -4.8943 2.1201 -1.7452 -0.3553 5.2068" Properties=species:S:1:pos:R:3 comment="CeEuSnHg PBE optimized geometry" dos_ef_per_ev_atom=2.389 sg="No. 216" formation_enthalpy_0k_ev_per_atom=-0.528 energy_ev_per_cell=-22.6 total_magnetization_mub_per_fu=8.8 pbc="T T T"
Eu 0.0000 0.0000 0.0000
Hg -6.2770 -4.8190 6.2912
Ce -4.1847 -3.2127 4.1941
Sn -2.0923 -1.6063 2.0971

Entry 2:
4
Lattice="-5.1660 1.9217 0.4813 -2.4425 0.1560 4.9620 -0.9240 4.8603 2.4769" Properties=species:S:1:pos:R:3 comment="CeEuTlHg PBE optimized geometry" dos_ef_per_ev_atom=3.211 sg="No. 216" formation_enthalpy_0k_ev_per_atom=-0.356 energy_ev_per_cell=-20.3 total_magnetization_mub_per_fu=8.4 pbc="T T T"
Eu 0.0000 0.0000 0.0000
Tl -2.1331 1.7345 1.9801
Hg -6.3993 5.2036 5.9402
Ce -4.2662 3.4691 3.9602

Entry 3:
4
Lattice="-5.3219 -0.5380 -0.3340 -2.8605 -1.1250 4.3904 -3.2091 3.7241 2.1347" Properties=species:S:1:pos:R:3 comment="CeEuZnHg PBE optimized geometry" dos_ef_per_ev_atom=2.285 sg="No. 216" formation_enthalpy_0k_ev_per_atom=-0.281 energy_ev_per_cell=-18.9 total_magnetization_mub_per_fu=7.9 pbc="T T T"
Eu -8.5436 1.5458 4.6433
Zn 0.0000 0.0000 0.0000
Hg -5.6957 1.0305 3.0955
Ce -2.8479 0.5153 1.5478

Entry 4:
3
Lattice="3.5783 0.0000 0.0000 -1.7892 3.0989 0.0000 0.0000 0.0000 8.9287" Properties=species:S:1:pos:R:3 comment="CeEuHo PBE optimized geometry" dos_ef_per_ev_atom=2.270 sg="No. 156" formation_enthalpy_0k_ev_per_atom=0.132 energy_ev_per_cell=-20.4 total_magnetization_mub_per_fu=6.6 pbc="T T T"
Eu 0.0000 0.0000 8.9267
Ho 1.7892 1.0330 3.0754
Ce 0.0000 2.0659 5.8552